No. 1
# Hg2OsAu | Alexandria | SCAN | PBEsol geometry
data_Hg2OsAu
_cell_length_a 4.204
_cell_length_b 4.204
_cell_length_c 7.944
_cell_angle_alpha 90.00
_cell_angle_beta 90.00
_cell_angle_gamma 90.00
_space_group_name_H-M_alt 'I 4/m m m'
_space_group_IT_number 139
_space_group_name_Hall '-I 4 2'
loop_
_atom_site_label
_atom_site_type_symbol
_atom_site_fract_x
_atom_site_fract_y
_atom_site_fract_z
Hg1 Hg 0.000 0.500 0.250
Os1 Os 0.000 0.000 0.000
Au1 Au 0.000 0.000 0.500
# Crystal system: tetragonal
# Energy above the lowest structure with this stoichiometry (eV per formula unit): 0.806
# E_form (eV per atom): 0.85

=====

No. 2
# HgPAu2 | Alexandria | SCAN | PBEsol geometry
data_HgPAu2
_cell_length_a 3.5928
_cell_length_b 3.5928
_cell_length_c 20.3434
_cell_angle_alpha 90.00
_cell_angle_beta 90.00
_cell_angle_gamma 120.00
_space_group_name_H-M_alt 'R -3 m'
_space_group_IT_number 166
_space_group_name_Hall '-R 3 2"'
loop_
_atom_site_label
_atom_site_type_symbol
_atom_site_fract_x
_atom_site_fract_y
_atom_site_fract_z
Hg1 Hg 0.0000 0.0000 0.0000
P1 P 0.0000 0.0000 0.5000
Au1 Au 0.0000 0.0000 0.2382
# Crystal system: trigonal
# E_form (eV per atom): 0.14

=====

No. 3
# HgP2Au | Alexandria | SCAN | PBEsol geometry
data_HgP2Au
_cell_length_a 5.612
_cell_length_b 5.612
_cell_length_c 11.406
_cell_angle_alpha 90.00
_cell_angle_beta 90.00
_cell_angle_gamma 90.00
_space_group_name_H-M_alt 'I -4 2 d'
_space_group_IT_number 122
_space_group_name_Hall 'I -4 2bw'
loop_
_atom_site_label
_atom_site_type_symbol
_atom_site_fract_x
_atom_site_fract_y
_atom_site_fract_z
Hg1 Hg 0.000 0.000 0.000
P1 P 0.222 0.250 0.625
Au1 Au 0.000 0.000 0.500
# Crystal system: tetragonal
# E_form (eV per atom): 0.29

=====

No. 4
# HgP2Au | Alexandria | SCAN | PBEsol geometry
data_HgP2Au
_cell_length_a 2.752
_cell_length_b 2.752
_cell_length_c 9.673
_cell_angle_alpha 90.00
_cell_angle_beta 90.00
_cell_angle_gamma 90.00
_space_group_name_H-M_alt 'P 4/m m m'
_space_group_IT_number 123
_space_group_name_Hall '-P 4 2'
loop_
_atom_site_label
_atom_site_type_symbol
_atom_site_fract_x
_atom_site_fract_y
_atom_site_fract_z
Hg1 Hg 0.000 0.000 0.000
P1 P 0.500 0.500 0.287
Au1 Au 0.000 0.000 0.500
# Crystal system: tetragonal
# E_form (eV per atom): 0.63

=====

No. 5
# HgP2Au | Alexandria | SCAN | PBEsol geometry
data_HgP2Au
_cell_length_a 3.136
_cell_length_b 3.136
_cell_length_c 7.509
_cell_angle_alpha 90.00
_cell_angle_beta 90.00
_cell_angle_gamma 90.00
_space_group_name_H-M_alt 'P 4 m m'
_space_group_IT_number 99
_space_group_name_Hall 'P 4 -2'
loop_
_atom_site_label
_atom_site_type_symbol
_atom_site_fract_x
_atom_site_fract_y
_atom_site_fract_z
Hg1 Hg 0.000 0.000 0.000
P1 P 0.000 0.000 0.342
P2 P 0.500 0.500 0.435
Au1 Au 0.500 0.500 0.751
# Crystal system: tetragonal
# E_form (eV per atom): 0.12

=====

No. 6
# Hg2PAu | Alexandria | SCAN | PBEsol geometry
data_Hg2PAu
_cell_length_a 3.286
_cell_length_b 3.286
_cell_length_c 7.790
_cell_angle_alpha 90.00
_cell_angle_beta 90.00
_cell_angle_gamma 90.00
_space_group_name_H-M_alt 'P 4 m m'
_space_group_IT_number 99
_space_group_name_Hall 'P 4 -2'
loop_
_atom_site_label
_atom_site_type_symbol
_atom_site_fract_x
_atom_site_fract_y
_atom_site_fract_z
Hg1 Hg 0.000 0.000 0.000
Hg2 Hg 0.500 0.500 0.278
P1 P 0.000 0.000 0.578
Au1 Au 0.500 0.500 0.693
# Crystal system: tetragonal
# E_form (eV per atom): 0.28

=====

No. 7
# HgP2Au2 | Alexandria | SCAN | PBEsol geometry
data_HgP2Au2
_cell_length_a 4.483
_cell_length_b 4.483
_cell_length_c 9.277
_cell_angle_alpha 90.00
_cell_angle_beta 90.00
_cell_angle_gamma 90.00
_space_group_name_H-M_alt 'I 4/m m m'
_space_group_IT_number 139
_space_group_name_Hall '-I 4 2'
loop_
_atom_site_label
_atom_site_type_symbol
_atom_site_fract_x
_atom_site_fract_y
_atom_site_fract_z
Hg1 Hg 0.000 0.000 0.000
P1 P 0.000 0.000 0.382
Au1 Au 0.000 0.500 0.250
# Crystal system: tetragonal
# E_form (eV per atom): 0.30

=====

No. 8
# HgP2Au | Alexandria | SCAN | PBEsol geometry
data_HgP2Au
_cell_length_a 3.256
_cell_length_b 3.941
_cell_length_c 11.533
_cell_angle_alpha 90.00
_cell_angle_beta 90.00
_cell_angle_gamma 90.00
_space_group_name_H-M_alt 'I m m 2'
_space_group_IT_number 44
_space_group_name_Hall 'I 2 -2'
loop_
_atom_site_label
_atom_site_type_symbol
_atom_site_fract_x
_atom_site_fract_y
_atom_site_fract_z
Hg1 Hg 0.000 0.000 0.000
P1 P 0.000 0.000 0.382
P2 P 0.000 0.500 0.743
Au1 Au 0.000 0.500 0.183
# Crystal system: orthorhombic
# E_form (eV per atom): 0.33

=====

No. 9
# HgP2Au | Alexandria | SCAN | PBEsol geometry
data_HgP2Au
_cell_length_a 2.744
_cell_length_b 5.155
_cell_length_c 10.117
_cell_angle_alpha 90.00
_cell_angle_beta 90.00
_cell_angle_gamma 90.00
_space_group_name_H-M_alt 'I m m m'
_space_group_IT_number 71
_space_group_name_Hall '-I 2 2'
loop_
_atom_site_label
_atom_site_type_symbol
_atom_site_fract_x
_atom_site_fract_y
_atom_site_fract_z
Hg1 Hg 0.000 0.000 0.000
P1 P 0.000 0.500 0.225
Au1 Au 0.000 0.000 0.500
# Crystal system: orthorhombic
# E_form (eV per atom): 0.57

=====

No. 10
# Hg3PAu | Alexandria | SCAN | PBEsol geometry
data_Hg3PAu
_cell_length_a 5.221
_cell_length_b 5.221
_cell_length_c 5.221
_cell_angle_alpha 90.00
_cell_angle_beta 90.00
_cell_angle_gamma 90.00
_space_group_name_H-M_alt 'P m -3 m'
_space_group_IT_number 221
_space_group_name_Hall '-P 4 2 3'
loop_
_atom_site_label
_atom_site_type_symbol
_atom_site_fract_x
_atom_site_fract_y
_atom_site_fract_z
Hg1 Hg 0.000 0.000 0.500
P1 P 0.500 0.500 0.500
Au1 Au 0.000 0.000 0.000
# Crystal system: cubic
# E_form (eV per atom): 0.61

=====

No. 11
# HgP2Au | Alexandria | SCAN | PBEsol geometry
data_HgP2Au
_cell_length_a 5.824
_cell_length_b 3.370
_cell_length_c 7.437
_cell_angle_alpha 90.00
_cell_angle_beta 104.84
_cell_angle_gamma 90.00
_space_group_name_H-M_alt 'C 1 m 1'
_space_group_IT_number 8
_space_group_name_Hall 'C -2y'
loop_
_atom_site_label
_atom_site_type_symbol
_atom_site_fract_x
_atom_site_fract_y
_atom_site_fract_z
Hg1 Hg 0.000 0.000 0.000
P1 P 0.010 0.500 0.531
P2 P 0.234 0.000 0.710
Au1 Au 0.263 0.500 0.293
# Crystal system: monoclinic
# E_form (eV per atom): 0.15

=====

No. 12
# Hg2PbAu | Alexandria | SCAN | PBEsol geometry
data_Hg2PbAu
_cell_length_a 11.949
_cell_length_b 3.127
_cell_length_c 5.501
_cell_angle_alpha 90.00
_cell_angle_beta 117.12
_cell_angle_gamma 90.00
_space_group_name_H-M_alt 'C 1 2/m 1'
_space_group_IT_number 12
_space_group_name_Hall '-C 2y'
loop_
_atom_site_label
_atom_site_type_symbol
_atom_site_fract_x
_atom_site_fract_y
_atom_site_fract_z
Hg1 Hg 0.228 0.000 0.228
Pb1 Pb 0.000 0.000 0.500
Au1 Au 0.000 0.500 0.000
# Crystal system: monoclinic
# E_form (eV per atom): 0.05

=====

No. 13
# HgPb3Au | Alexandria | SCAN | PBEsol geometry
data_HgPb3Au
_cell_length_a 5.465
_cell_length_b 5.465
_cell_length_c 5.465
_cell_angle_alpha 90.00
_cell_angle_beta 90.00
_cell_angle_gamma 90.00
_space_group_name_H-M_alt 'P m -3 m'
_space_group_IT_number 221
_space_group_name_Hall '-P 4 2 3'
loop_
_atom_site_label
_atom_site_type_symbol
_atom_site_fract_x
_atom_site_fract_y
_atom_site_fract_z
Hg1 Hg 0.000 0.000 0.000
Pb1 Pb 0.000 0.500 0.500
Au1 Au 0.500 0.500 0.500
# Crystal system: cubic
# E_form (eV per atom): 0.29

=====

No. 14
# Hg2PbAu | Alexandria | SCAN | PBEsol geometry
data_Hg2PbAu
_cell_length_a 4.118
_cell_length_b 4.049
_cell_length_c 5.902
_cell_angle_alpha 90.00
_cell_angle_beta 105.49
_cell_angle_gamma 90.00
_space_group_name_H-M_alt 'P 1 m 1'
_space_group_IT_number 6
_space_group_name_Hall 'P -2y'
loop_
_atom_site_label
_atom_site_type_symbol
_atom_site_fract_x
_atom_site_fract_y
_atom_site_fract_z
Hg1 Hg 0.000 0.000 0.000
Hg2 Hg 0.447 0.500 0.855
Pb1 Pb 0.637 0.500 0.381
Au1 Au 0.158 0.000 0.515
# Crystal system: monoclinic
# E_form (eV per atom): 0.01

=====

No. 15
# Hg2PbAu2 | Alexandria | SCAN | PBEsol geometry
data_Hg2PbAu2
_cell_length_a 4.106
_cell_length_b 4.106
_cell_length_c 13.375
_cell_angle_alpha 90.00
_cell_angle_beta 90.00
_cell_angle_gamma 90.00
_space_group_name_H-M_alt 'I 4/m m m'
_space_group_IT_number 139
_space_group_name_Hall '-I 4 2'
loop_
_atom_site_label
_atom_site_type_symbol
_atom_site_fract_x
_atom_site_fract_y
_atom_site_fract_z
Hg1 Hg 0.000 0.500 0.250
Pb1 Pb 0.000 0.000 0.000
Au1 Au 0.000 0.000 0.401
# Crystal system: tetragonal
# Energy above the lowest structure with this stoichiometry (eV per formula unit): 0.000
# E_form (eV per atom): 0.03